[1]
First-principles (GGA-PBE) data for a relaxed Sm3Ho2Ga4 crystal, as listed in Alexandria via LeMat-Bulk.

Results
formation enthalpy at 0 K: -0.4661 eV/atom
DFT total energy: -4.402 eV/atom

Cell: 5.914 5.914 9.610 Å, 90.56 90.56 44.31°
Atoms (fractional coordinates):
Sm1 0.000 0.000 0.000
Sm2 0.379 0.379 0.615
Sm3 0.621 0.621 0.385
Ho1 0.320 0.320 0.231
Ho2 0.680 0.680 0.769
Ga1 0.081 0.081 0.606
Ga2 0.304 0.304 0.927
Ga3 0.696 0.696 0.073
Ga4 0.919 0.919 0.394

---

[2]
First-principles (GGA-PBE) data for a relaxed TaGaSeN2 crystal, as listed in Alexandria via LeMat-Bulk.

Results
raw formation energy: 1.242 eV per atom
DFT total energy: -5.761 eV/atom

Cell: 3.840 3.840 4.903 Å, 90.00 90.00 90.00°
Atoms (fractional coordinates):
Ta1 0.000 0.000 0.000
Ga1 0.500 0.500 0.500
Se1 0.500 0.500 0.000
N1 0.000 0.500 0.500
N2 0.500 0.000 0.500

---

[3]
First-principles (GGA-PBE) data for a relaxed Zn3AsN crystal, as listed in Alexandria via LeMat-Bulk.

Results
raw formation energy: 0.224 eV per atom
DFT total energy: -3.135 eV/atom

Cell: 4.179 4.179 4.179 Å, 90.00 90.00 90.00°
Atoms (fractional coordinates):
Zn1 0.000 0.000 0.500
Zn2 0.000 0.500 0.000
Zn3 0.500 0.000 0.000
As1 0.500 0.500 0.500
N1 0.000 0.000 0.000

---

[4]
First-principles (GGA-PBE) data for a relaxed SrBeSb4 crystal, as listed in Alexandria via LeMat-Bulk.

Results
raw formation energy: 0.220 eV per atom
DFT total energy: -3.429 eV/atom

Cell: 6.314 6.314 6.314 Å, 60.00 60.00 60.00°
Atoms (fractional coordinates):
Sr1 0.000 0.000 0.000
Be1 0.750 0.750 0.750
Sb1 0.377 0.377 0.377
Sb2 0.377 0.377 0.870
Sb3 0.377 0.870 0.377
Sb4 0.870 0.377 0.377

---

[5]
First-principles (GGA-PBE) data for a relaxed Ho5Pb4 crystal, as listed in Alexandria via LeMat-Bulk.

Results
formation enthalpy at 0 K: -0.2124 eV/atom
DFT total energy: -4.404 eV/atom

Cell: 7.404 7.404 7.404 Å, 100.10 100.10 130.49°
Atoms (fractional coordinates):
Ho1 0.000 0.000 0.000
Ho2 0.245 0.604 0.849
Ho3 0.396 0.245 0.640
Ho4 0.604 0.755 0.360
Ho5 0.755 0.396 0.151
Pb1 0.076 0.319 0.395
Pb2 0.319 0.924 0.243
Pb3 0.681 0.076 0.757
Pb4 0.924 0.681 0.605

---

[6]
First-principles (GGA-PBE) data for a relaxed Er4BiRh2 crystal, as listed in Alexandria via LeMat-Bulk.

Results
formation enthalpy at 0 K: -0.7068 eV/atom
DFT total energy: -5.969 eV/atom

Cell: 8.551 8.551 6.900 Å, 107.87 107.87 119.79°
Atoms (fractional coordinates):
Er1 0.004 0.996 0.500
Er2 0.025 0.440 0.288
Er3 0.303 0.866 0.165
Er4 0.427 0.590 0.844
Er5 0.440 0.025 0.788
Er6 0.590 0.427 0.344
Er7 0.866 0.303 0.665
Er8 0.996 0.004 0.000
Bi1 0.552 0.782 0.495
Bi2 0.782 0.552 0.995
Rh1 0.043 0.708 0.683
Rh2 0.213 0.373 0.007
Rh3 0.373 0.213 0.507
Rh4 0.708 0.043 0.183

---

[7]
First-principles (GGA-PBE) data for a relaxed RbNaGa2F8 crystal, as listed in Alexandria via LeMat-Bulk.

Results
raw formation energy: -2.675 eV per atom
DFT total energy: -4.617 eV/atom

Cell: 8.256 8.256 8.256 Å, 39.33 39.33 39.33°
Atoms (fractional coordinates):
Rb1 0.000 0.000 0.000
Na1 0.500 0.500 0.500
Ga1 0.244 0.244 0.244
Ga2 0.756 0.756 0.756
F1 0.086 0.782 0.463
F2 0.218 0.537 0.914
F3 0.323 0.323 0.323
F4 0.463 0.086 0.782
F5 0.537 0.914 0.218
F6 0.677 0.677 0.677
F7 0.782 0.463 0.086
F8 0.914 0.218 0.537

---

[8]
First-principles (GGA-PBE) data for a relaxed Rb2Cd5Au3 crystal, as listed in Alexandria via LeMat-Bulk.

Results
formation enthalpy at 0 K: -0.1911 eV/atom
DFT total energy: -1.825 eV/atom

Cell: 9.827 9.827 9.827 Å, 108.03 86.52 138.69°
Atoms (fractional coordinates):
Rb1 0.123 0.234 0.356
Rb2 0.377 0.734 0.111
Rb3 0.623 0.266 0.889
Rb4 0.877 0.766 0.644
Cd1 0.025 0.750 0.275
Cd2 0.129 0.887 0.017
Cd3 0.250 0.750 0.500
Cd4 0.371 0.387 0.758
Cd5 0.475 0.750 0.725
Cd6 0.525 0.250 0.275
Cd7 0.629 0.613 0.242
Cd8 0.750 0.250 0.500
Cd9 0.871 0.113 0.983
Cd10 0.975 0.250 0.725
Au1 0.115 0.644 0.759
Au2 0.250 0.250 0.000
Au3 0.385 0.144 0.529
Au4 0.615 0.856 0.471
Au5 0.750 0.750 0.000
Au6 0.885 0.356 0.241

---

[9]
First-principles (GGA-PBE) data for a relaxed NaCuAs2Ru crystal, as listed in Alexandria via LeMat-Bulk.

Results
formation enthalpy at 0 K: 1.6890 eV/atom
DFT total energy: -3.109 eV/atom

Cell: 4.819 4.819 4.679 Å, 90.00 90.00 90.00°
Atoms (fractional coordinates):
Na1 0.000 0.000 0.000
Cu1 0.500 0.500 0.500
As1 0.000 0.500 0.000
As2 0.500 0.000 0.000
Ru1 0.000 0.000 0.500

---

[10]
First-principles (GGA-PBE) data for a relaxed SrSb2TePd crystal, as listed in Alexandria via LeMat-Bulk.

Results
raw formation energy: 0.958 eV per atom
DFT total energy: -2.694 eV/atom

Cell: 6.006 6.006 5.954 Å, 90.00 90.00 90.00°
Atoms (fractional coordinates):
Sr1 0.000 0.000 0.000
Sb1 0.000 0.500 0.000
Sb2 0.500 0.000 0.000
Te1 0.000 0.000 0.500
Pd1 0.500 0.500 0.500

---

[11]
First-principles (GGA-PBE) data for a relaxed SrAg3Hg crystal, as listed in Alexandria via LeMat-Bulk.

Results
formation enthalpy at 0 K: 0.7876 eV/atom
DFT total energy: -1.320 eV/atom

Cell: 6.049 6.049 6.049 Å, 90.00 90.00 90.00°
Atoms (fractional coordinates):
Sr1 0.000 0.000 0.000
Ag1 0.000 0.000 0.500
Ag2 0.000 0.500 0.000
Ag3 0.500 0.000 0.000
Hg1 0.500 0.500 0.500

---

[12]
First-principles (GGA-PBE) data for a relaxed Tl5Si3 crystal, as listed in Alexandria via LeMat-Bulk.

Results
raw formation energy: 0.324 eV per atom
DFT total energy: -3.189 eV/atom

Cell: 7.744 7.744 3.723 Å, 90.00 90.00 93.44°
Atoms (fractional coordinates):
Tl1 0.000 0.000 0.000
Tl2 0.000 0.500 0.000
Tl3 0.257 0.257 0.500
Tl4 0.500 0.000 0.000
Tl5 0.743 0.743 0.500
Si1 0.355 0.645 0.500
Si2 0.500 0.500 0.000
Si3 0.645 0.355 0.500

---

[13]
First-principles (GGA-PBE) data for a relaxed DyGaAu3 crystal, as listed in Alexandria via LeMat-Bulk.

Results
formation enthalpy at 0 K: -0.5770 eV/atom
DFT total energy: -4.069 eV/atom

Cell: 5.485 5.919 6.238 Å, 90.00 97.80 90.00°
Atoms (fractional coordinates):
Dy1 0.187 0.250 0.185
Dy2 0.813 0.750 0.815
Ga1 0.081 0.750 0.343
Ga2 0.919 0.250 0.657
Au1 0.315 0.002 0.647
Au2 0.315 0.498 0.647
Au3 0.341 0.750 0.040
Au4 0.659 0.250 0.960
Au5 0.685 0.502 0.353
Au6 0.685 0.998 0.353

---

[14]
First-principles (GGA-PBE) data for a relaxed Zn2OsPt crystal, as listed in Alexandria via LeMat-Bulk.

Results
formation enthalpy at 0 K: 0.1318 eV/atom
DFT total energy: -4.823 eV/atom

Cell: 2.748 2.748 9.125 Å, 90.00 90.00 119.99°
Atoms (fractional coordinates):
Zn1 0.000 0.000 0.000
Zn2 0.500 0.500 0.249
Os1 0.000 0.000 0.494
Pt1 0.500 0.500 0.755

---

[15]
First-principles (GGA-PBE) data for a relaxed Mo5Ru crystal, as listed in Alexandria via LeMat-Bulk.

Results
formation enthalpy at 0 K: 0.3633 eV/atom
DFT total energy: -10.209 eV/atom

Cell: 5.159 5.159 5.159 Å, 60.00 60.00 60.00°
Atoms (fractional coordinates):
Mo1 0.000 0.000 0.000
Mo2 0.123 0.626 0.626
Mo3 0.626 0.123 0.626
Mo4 0.626 0.626 0.123
Mo5 0.626 0.626 0.626
Ru1 0.250 0.250 0.250

---

[16]
First-principles (GGA-PBE) data for a relaxed DyTmCdGe crystal, as listed in Alexandria via LeMat-Bulk.

Results
formation enthalpy at 0 K: -0.4508 eV/atom
DFT total energy: -4.102 eV/atom

Cell: 5.111 5.111 5.111 Å, 60.00 60.00 60.00°
Atoms (fractional coordinates):
Dy1 0.000 0.000 0.000
Tm1 0.500 0.500 0.500
Cd1 0.250 0.250 0.250
Ge1 0.750 0.750 0.750

---

[17]
First-principles (GGA-PBE) data for a relaxed LiPu2ReN5 crystal, as listed in Alexandria via LeMat-Bulk.

Results
raw formation energy: -0.619 eV per atom
DFT total energy: -10.025 eV/atom

Cell: 6.633 6.633 9.627 Å, 90.00 90.00 151.45°
Atoms (fractional coordinates):
Li1 0.019 0.981 0.500
Li2 0.981 0.019 0.000
Pu1 0.362 0.638 0.341
Pu2 0.388 0.612 0.721
Pu3 0.612 0.388 0.221
Pu4 0.638 0.362 0.841
Re1 0.308 0.692 0.044
Re2 0.692 0.308 0.544
N1 0.006 0.994 0.798
N2 0.144 0.856 0.036
N3 0.191 0.809 0.406
N4 0.212 0.788 0.691
N5 0.445 0.555 0.092
N6 0.555 0.445 0.592
N7 0.788 0.212 0.191
N8 0.809 0.191 0.906
N9 0.856 0.144 0.536
N10 0.994 0.006 0.298

---

[18]
First-principles (GGA-PBE) data for a relaxed LiCuAs2 crystal, as listed in Alexandria via LeMat-Bulk.

Results
formation enthalpy at 0 K: -0.0974 eV/atom
DFT total energy: -3.925 eV/atom

Cell: 7.963 7.963 7.963 Å, 22.64 22.64 22.64°
Atoms (fractional coordinates):
Li1 0.000 0.000 0.000
Cu1 0.500 0.500 0.500
As1 0.244 0.244 0.244
As2 0.756 0.756 0.756

---

[19]
First-principles (GGA-PBE) data for a relaxed AgIrSe crystal, as listed in Alexandria via LeMat-Bulk.

Results
raw formation energy: 0.153 eV per atom
DFT total energy: -4.913 eV/atom

Cell: 3.387 3.387 6.162 Å, 90.00 90.00 120.00°
Atoms (fractional coordinates):
Ag1 0.000 0.000 0.000
Ir1 0.667 0.333 0.338
Se1 0.000 0.000 0.557

---

[20]
First-principles (GGA-PBE) data for a relaxed CeNi3P crystal, as listed in Alexandria via LeMat-Bulk.

Results
formation enthalpy at 0 K: -0.3965 eV/atom
DFT total energy: -6.134 eV/atom

Cell: 8.004 8.004 8.004 Å, 144.86 144.86 50.54°
Atoms (fractional coordinates):
Ce1 0.148 0.148 0.000
Ce2 0.852 0.852 0.000
Ni1 0.375 0.134 0.759
Ni2 0.375 0.616 0.241
Ni3 0.384 0.625 0.759
Ni4 0.534 0.034 0.500
Ni5 0.866 0.625 0.241
Ni6 0.966 0.466 0.500
P1 0.250 0.750 0.500
P2 0.500 0.500 0.000